Version one
Computed, not measured: crystalline TcAgAs2 at its relaxed geometry at the PBE level of DFT.

Fermi-level density of states ... 0.8314 states/eV/atom
Mass density ... 7.70 g/cm³
Volume ... 19.18 Å³ per atom

a = 2.9841 Å, b = 2.9841 Å, c = 29.8407 Å
α = 90.00°, β = 90.00°, γ = 120.00°
Space group R3m (No. 160, hexagonal axes)
Unique sites:
Tc  0.0000  0.0000  0.0000 x3
Ag  0.0000  0.0000  0.7458 x3
As  0.0000  0.0000  0.2732 x3
As  0.0000  0.0000  0.4871 x3

---

Version two
Computed, not measured: crystalline TcAgAs2 at its relaxed geometry at the PBE level of DFT.

Fermi-level density of states ... 0.6414 states/eV/atom
Mass density ... 6.20 g/cm³
Volume ... 23.81 Å³ per atom

a = 5.931 Å, b = 5.931 Å, c = 10.831 Å
α = 90.00°, β = 90.00°, γ = 90.00°
Space group I-42d (No. 122)
Unique sites:
Tc  0.000  0.000  0.000 x4
Ag  0.000  0.000  0.500 x4
As  0.214  0.250  0.125 x8

---

Most stable structure: version one

---

Version one
Computed, not measured: crystalline TcAgAs at its relaxed geometry at the PBE level of DFT.

Fermi-level density of states ... 0.7937 states/eV/atom
Mass density ... 8.66 g/cm³
Volume ... 17.95 Å³ per atom

a = 3.156 Å, b = 4.807 Å, c = 14.201 Å
α = 90.00°, β = 90.00°, γ = 90.00°
Space group Fmm2 (No. 42)
Unique sites:
Tc  0.000  0.000  0.000 x4
Ag  0.000  0.000  0.330 x4
As  0.000  0.000  0.630 x4

---

Version two
Computed, not measured: crystalline TcAgAs at its relaxed geometry at the PBE level of DFT.

Fermi-level density of states ... 0.7912 states/eV/atom
Mass density ... 9.21 g/cm³
Volume ... 16.88 Å³ per atom

a = 3.154 Å, b = 3.154 Å, c = 10.184 Å
α = 90.00°, β = 90.00°, γ = 90.00°
Space group I4mm (No. 107)
Unique sites:
Tc  0.000  0.000  0.000 x2
Ag  0.000  0.000  0.305 x2
As  0.000  0.000  0.613 x2

---

Most stable structure: version two